# Zr2Zn2Ga | the Alexandria database | PBE | relaxed
# Magnetic moment = 0.000 μB/f.u.
# Formation energy = -0.346 eV per atom
data_Zr2Zn2Ga
_chemical_formula_sum 'Zr4 Zn4 Ga2'
_symmetry_space_group_name_H-M 'P 1'
_symmetry_Int_Tables_number 1
_symmetry_space_group_name_Hall 'P 1'
_cell_length_a 6.6017
_cell_length_b 6.6017
_cell_length_c 4.1885
_cell_angle_alpha 90.00
_cell_angle_beta 90.00
_cell_angle_gamma 90.00
loop_
_atom_site_label
_atom_site_type_symbol
_atom_site_fract_x
_atom_site_fract_y
_atom_site_fract_z
Zn1 Zn 0.3687 0.8687 0.0000
Zn2 Zn 0.8687 0.6313 0.0000
Zn3 Zn 0.6313 0.1313 0.0000
Zn4 Zn 0.1313 0.3687 0.0000
Ga1 Ga 0.0000 0.0000 0.0000
Ga2 Ga 0.5000 0.5000 0.0000
Zr1 Zr 0.1691 0.6691 0.5000
Zr2 Zr 0.6691 0.8309 0.5000
Zr3 Zr 0.8309 0.3309 0.5000
Zr4 Zr 0.3309 0.1691 0.5000